# SrHg

A relaxed SrHg crystal (PBE, the Alexandria database).

E = -1.364 eV per atom
formation enthalpy at 0 K = -0.7 eV per formula unit
DOS(E_F) = 1.20 states/eV/f.u.
space group = I4_1/amd

POSCAR file:
```
SrHg
1.0
-2.390 2.390 5.938
2.390 -2.390 5.938
2.390 2.390 -5.938
Sr Hg
2 2
Cartesian
2.390 1.195 1.484
0.000 1.195 4.453
2.390 -1.195 4.453
0.000 3.584 1.484
```

# Sr2TaHg

A relaxed Sr2TaHg crystal (PBE, the Alexandria database).

E = -3.276 eV per atom
formation enthalpy at 0 K = 2.4 eV per formula unit
DOS(E_F) = 4.60 states/eV/f.u.
space group = Cmmm

POSCAR file:
```
Sr2TaHg
1.0
4.115 -4.291 0.000
4.115 4.291 0.000
0.000 0.000 3.448
Sr Ta Hg
2 1 1
Cartesian
2.057 2.146 0.000
2.057 -2.146 0.000
0.000 0.000 1.724
4.115 0.000 1.724
```

# Sr2TaHg

A relaxed Sr2TaHg crystal (PBE, the Alexandria database).

E = -3.112 eV per atom
formation enthalpy at 0 K = 3.1 eV per formula unit
DOS(E_F) = 4.06 states/eV/f.u.
space group = C2/m

POSCAR file:
```
Sr2TaHg
1.0
5.524 -1.703 0.000
5.524 1.703 0.000
-1.083 0.000 6.238
Sr Ta Hg
2 1 1
Cartesian
2.447 0.000 1.579
7.517 0.000 4.659
-0.541 0.000 3.119
5.524 0.000 0.000
```

# Sr2TaHg

A relaxed Sr2TaHg crystal (PBE, the Alexandria database).

E = -3.173 eV per atom
formation enthalpy at 0 K = 2.8 eV per formula unit
DOS(E_F) = 3.34 states/eV/f.u.
space group = I-4m2

POSCAR file:
```
Sr2TaHg
1.0
-2.416 2.416 5.223
2.416 -2.416 5.223
2.416 2.416 -5.223
Sr Ta Hg
2 1 1
Cartesian
0.000 0.000 0.000
0.000 2.416 2.612
2.416 0.000 2.612
0.000 0.000 5.223
```

# Sr2TaHg

A relaxed Sr2TaHg crystal (PBE, the Alexandria database).

E = -3.406 eV per atom
formation enthalpy at 0 K = 1.9 eV per formula unit
DOS(E_F) = 4.97 states/eV/f.u.
space group = P4mm

POSCAR file:
```
Sr2TaHg
1.0
3.629 0.000 0.000
0.000 3.629 0.000
0.000 0.000 9.550
Sr Ta Hg
2 1 1
Cartesian
0.000 0.000 0.000
1.815 1.815 3.605
0.000 0.000 5.904
1.815 1.815 7.290
```

# Sr2TaHg

A relaxed Sr2TaHg crystal (PBE, the Alexandria database).

E = -3.127 eV per atom
formation enthalpy at 0 K = 3.0 eV per formula unit
DOS(E_F) = 2.26 states/eV/f.u.
space group = F-43m

POSCAR file:
```
Sr2TaHg
1.0
0.000 3.866 3.866
3.866 0.000 3.866
3.866 3.866 0.000
Sr Ta Hg
2 1 1
Cartesian
0.000 0.000 0.000
1.933 1.933 1.933
5.799 5.799 5.799
3.866 3.866 3.866
```

Question: What is the formation enthalpy at 0 K in the fourth record?
Answer: 2.8 eV per formula unit

Question: The highest formation enthalpy at 0 K belongs to which entry?
Answer: number 3

Question: Among the records above, which one has the highest DOS(E_F)?
Answer: number 5

Question: Which of these has the highest formation enthalpy at 0 K?
Answer: number 3